Entry 1:
VASP calculation (GGA-PBE) on an optimized crystal structure of BPd3Rh.

a = 4.1438 Å, b = 4.1438 Å, c = 4.1438 Å
α = 90.00°, β = 90.00°, γ = 90.00°
Space group Pm-3m (No. 221)
Symmetry-distinct sites (fractional):
B: 0.0000 0.0000 0.0000
Pd: 0.0000 0.0000 0.5000
Rh: 0.5000 0.5000 0.5000


Entry 2:
VASP calculation (GGA-PBE) on an optimized crystal structure of NaSrGd.

a = 3.8456 Å, b = 3.8456 Å, c = 9.5728 Å
α = 90.00°, β = 90.00°, γ = 120.00°
Space group P3m1 (No. 156)
Symmetry-distinct sites (fractional):
Na: 0.0000 0.0000 0.0000
Sr: 0.6667 0.3333 0.3542
Gd: 0.3333 0.6667 0.6805


Entry 3:
VASP calculation (GGA-PBE) on an optimized crystal structure of TiNiAgSe2.

Computed properties:
E_form (uncorrected) ... 0.476 eV/atom

a = 4.8189 Å, b = 4.8189 Å, c = 5.1653 Å
α = 90.00°, β = 90.00°, γ = 90.00°
Space group P4/mmm (No. 123)
Symmetry-distinct sites (fractional):
Ti: 0.0000 0.0000 0.0000
Ni: 0.5000 0.5000 0.5000
Ag: 0.0000 0.0000 0.5000
Se: 0.0000 0.5000 0.0000


Entry 4:
VASP calculation (GGA-PBE) on an optimized crystal structure of AcY3Er8.

a = 6.3224 Å, b = 11.3529 Å, c = 11.6007 Å
α = 90.00°, β = 90.00°, γ = 90.00°
Space group Immm (No. 71)
Symmetry-distinct sites (fractional):
Ac: 0.0000 0.0000 0.0000
Y: 0.0000 0.2368 0.5000
Y: 0.0000 0.5000 0.0000
Er: 0.0000 0.2520 0.1752
Er: 0.2443 0.0000 0.2628


no.,E_tot (eV per atom),total moment (μB per formula unit)
1,-5.77,0.0
2,-5.49,7.9
3,-4.22,1.1
4,-4.68,0.0